No. 1
Density functional theory data (PBE) for a relaxed KAuCl2 crystal.

Values from the calculation:
- uncorrected formation energy (eV per atom) = -0.7879
- electronic total energy (eV per cell) = -11.2
- energy above the lowest structure with this stoichiometry (meV per atom) = 322

The structure in CIF format:
```
data_KAuCl2
_cell_length_a 4.470
_cell_length_b 4.470
_cell_length_c 7.683
_cell_angle_alpha 90.00
_cell_angle_beta 90.00
_cell_angle_gamma 124.59
_space_group_name_H-M_alt 'P 1'
_space_group_IT_number 1
_space_group_name_Hall 'P 1'
loop_
_atom_site_label
_atom_site_fract_x
_atom_site_fract_y
_atom_site_fract_z
_atom_site_occupancy
Cl1 0.000 0.000 0.969 1
Cl2 0.000 0.000 0.531 1
Au1 0.500 0.500 0.750 1
K1 0.500 0.500 0.250 1
```

=====

No. 2
Density functional theory data (PBE) for a relaxed Y3HoGa8 crystal.

Values from the calculation:
- electronic total energy (eV per cell) = -55.0
- ΔE_f (meV/atom) = -566

The structure in CIF format:
```
data_Y3HoGa8
_cell_length_a 5.490
_cell_length_b 5.490
_cell_length_c 9.618
_cell_angle_alpha 73.42
_cell_angle_beta 73.42
_cell_angle_gamma 60.00
_space_group_name_H-M_alt 'P 1'
_space_group_IT_number 1
_space_group_name_Hall 'P 1'
loop_
_atom_site_label
_atom_site_fract_x
_atom_site_fract_y
_atom_site_fract_z
_atom_site_occupancy
Y1 0.376 0.376 0.873 1
Y2 0.500 0.500 0.501 1
Y3 0.999 0.999 0.002 1
Ga1 0.937 0.437 0.188 1
Ga2 0.437 0.437 0.188 1
Ga3 0.938 0.438 0.687 1
Ga4 0.688 0.688 0.938 1
Ga5 0.188 0.188 0.437 1
Ga6 0.438 0.938 0.687 1
Ga7 0.938 0.938 0.687 1
Ga8 0.437 0.937 0.188 1
Ho1 0.876 0.876 0.373 1
```

=====

No. 3
Density functional theory data (PBE) for a relaxed HoGaCoPd crystal.

Values from the calculation:
- electronic total energy (eV per cell) = -21.8
- ΔE_f (meV/atom) = -474

The structure in CIF format:
```
data_HoGaCoPd
_cell_length_a 4.538
_cell_length_b 4.538
_cell_length_c 4.538
_cell_angle_alpha 60.00
_cell_angle_beta 60.00
_cell_angle_gamma 60.00
_space_group_name_H-M_alt 'P 1'
_space_group_IT_number 1
_space_group_name_Hall 'P 1'
loop_
_atom_site_label
_atom_site_fract_x
_atom_site_fract_y
_atom_site_fract_z
_atom_site_occupancy
Ho1 0.750 0.750 0.750 1
Co1 0.500 0.500 0.500 1
Ga1 0.250 0.250 0.250 1
Pd1 0.000 0.000 0.000 1
```

=====

No. 4
Density functional theory data (PBE) for a relaxed SrP2Se crystal.

Values from the calculation:
- uncorrected formation energy (eV per atom) = -0.5079
- electronic total energy (eV per cell) = -18.0

The structure in CIF format:
```
data_SrP2Se
_cell_length_a 4.164
_cell_length_b 4.672
_cell_length_c 5.424
_cell_angle_alpha 75.68
_cell_angle_beta 90.00
_cell_angle_gamma 90.00
_space_group_name_H-M_alt 'P 1'
_space_group_IT_number 1
_space_group_name_Hall 'P 1'
loop_
_atom_site_label
_atom_site_fract_x
_atom_site_fract_y
_atom_site_fract_z
_atom_site_occupancy
P1 0.000 0.372 0.559 1
P2 0.000 0.128 0.941 1
Sr1 0.500 0.750 0.750 1
Se1 0.500 0.250 0.250 1
```